(1)
Density functional theory data (PBE) for an optimized crystal structure of RbLi2PPt.

Properties
formation enthalpy at 0 K: -2.0 eV per formula unit
relative energy among the computed polymorphs: 0 meV/atom
symmetry: P4/mmm, No. 123

Lattice parameters (Å, degrees): 4.9294 4.9294 4.6215 90.00 90.00 90.00
Closest atoms and distances in Å follow each position.
Positions (direct):
Rb 0.0000 0.0000 0.0000  8 Li 3.38, 4 Pt 3.49
Li 0.0000 0.5000 0.5000  2 P 2.46
Li 0.5000 0.0000 0.5000  2 P 2.46
P 0.5000 0.5000 0.5000  2 Pt 2.31, 4 Li 2.46
Pt 0.5000 0.5000 0.0000  2 P 2.31


(2)
Density functional theory data (PBE) for an optimized crystal structure of Rb2LiP2Pt.

Properties
formation enthalpy at 0 K: -2.4 eV per formula unit
symmetry: Ibam, No. 72

Lattice parameters (Å, degrees): 9.0331 9.0331 9.0331 140.82 58.77 138.01
Closest atoms and distances in Å follow each position.
Positions (direct):
Rb 0.1698 0.2185 0.3884  4 P 3.34-3.58, 2 Li 3.39, 2 Pt 3.56
Rb 0.3302 0.7185 0.0487  4 P 3.34-3.58, 2 Li 3.39, 2 Pt 3.56
Rb 0.6698 0.2815 0.9513  4 P 3.34-3.58, 2 Li 3.39, 2 Pt 3.56
Rb 0.8302 0.7815 0.6116  4 P 3.34-3.58, 2 Li 3.39, 2 Pt 3.56
Li 0.2500 0.2500 0.0000  4 P 2.66
Li 0.7500 0.7500 0.0000  4 P 2.66
P 0.0768 0.7139 0.7907  2 Pt 2.40, 2 Li 2.66
P 0.4232 0.2139 0.6372  2 Pt 2.40, 2 Li 2.66
P 0.5768 0.7861 0.3628  2 Pt 2.40, 2 Li 2.66
P 0.9232 0.2861 0.2093  2 Pt 2.40, 2 Li 2.66
Pt 0.2500 0.7500 0.5000  4 P 2.40
Pt 0.7500 0.2500 0.5000  4 P 2.40


(3)
Density functional theory data (PBE) for an optimized crystal structure of RbLi2PPt.

Properties
formation enthalpy at 0 K: -2.0 eV per formula unit
relative energy among the computed polymorphs: 2 meV/atom
symmetry: P4/mmm, No. 123

Lattice parameters (Å, degrees): 5.0901 5.0901 4.5023 90.00 90.00 90.00
Closest atoms and distances in Å follow each position.
Positions (direct):
Rb 0.0000 0.0000 0.0000  8 Li 3.40, 4 P 3.60
Li 0.0000 0.5000 0.5000  2 Pt 2.55
Li 0.5000 0.0000 0.5000  2 Pt 2.55
P 0.5000 0.5000 0.0000  2 Pt 2.25
Pt 0.5000 0.5000 0.5000  2 P 2.25


(4)
Density functional theory data (PBE) for an optimized crystal structure of RbLiP2Pt4.

Properties
formation enthalpy at 0 K: -4.3 eV per formula unit
symmetry: P4/mmm, No. 123

Lattice parameters (Å, degrees): 4.0286 4.0286 9.9450 90.00 90.00 90.00
Closest atoms and distances in Å follow each position.
Positions (direct):
Rb 0.0000 0.0000 0.0000  8 P 3.58, 8 Pt 3.87
Li 0.0000 0.0000 0.5000  8 Pt 2.61
P 0.5000 0.5000 0.2182  4 Pt 2.31
P 0.5000 0.5000 0.7818  4 Pt 2.31
Pt 0.0000 0.5000 0.3328  2 P 2.31
Pt 0.0000 0.5000 0.6672  2 P 2.31
Pt 0.5000 0.0000 0.3328  2 P 2.31
Pt 0.5000 0.0000 0.6672  2 P 2.31


(5)
Density functional theory data (PBE) for an optimized crystal structure of RbLiPPt.

Properties
formation enthalpy at 0 K: -2.3 eV per formula unit
symmetry: R3m, No. 160

Lattice parameters (Å, degrees): 4.1608 4.1608 18.6214 90.00 90.00 120.00
Closest atoms and distances in Å follow each position.
Positions (direct):
Rb 0.0000 0.0000 0.0000  4 Li 3.48-3.63, 4 P 3.54-3.61, 3 Pt 3.63
Rb 0.3333 0.6667 0.6667  4 Li 3.48-3.63, 4 P 3.54-3.61, 3 Pt 3.63
Rb 0.6667 0.3333 0.3333  4 Li 3.48-3.63, 4 P 3.54-3.61, 3 Pt 3.63
Li 0.0000 0.0000 0.1869  3 Pt 2.52, 3 P 2.56
Li 0.3333 0.6667 0.8536  3 Pt 2.52, 3 P 2.56
Li 0.6667 0.3333 0.5203  3 Pt 2.52, 3 P 2.56
P 0.0000 0.0000 0.8061  3 Pt 2.41, 3 Li 2.56
P 0.3333 0.6667 0.4728  3 Pt 2.41, 3 Li 2.56
P 0.6667 0.3333 0.1394  3 Pt 2.41, 3 Li 2.56
Pt 0.0000 0.0000 0.4796  3 P 2.41, 3 Li 2.52
Pt 0.3333 0.6667 0.1462  3 P 2.41, 3 Li 2.52
Pt 0.6667 0.3333 0.8129  3 P 2.41, 3 Li 2.52


(6)
Density functional theory data (PBE) for an optimized crystal structure of LiPRuPt.

Properties
formation enthalpy at 0 K: -1.7 eV per formula unit
symmetry: F-43m, No. 216

Lattice parameters (Å, degrees): 5.8305 5.8305 5.8305 90.00 90.00 90.00
Closest atoms and distances in Å follow each position.
Positions (direct):
Li 0.0000 0.0000 0.0000  4 Pt 2.52, 4 Ru 2.52
Li 0.0000 0.5000 0.5000  4 Pt 2.52, 4 Ru 2.52
Li 0.5000 0.0000 0.5000  4 Pt 2.52, 4 Ru 2.52
Li 0.5000 0.5000 0.0000  4 Pt 2.52, 4 Ru 2.52
P 0.0000 0.0000 0.5000  4 Ru 2.52, 4 Pt 2.52
P 0.0000 0.5000 0.0000  4 Ru 2.52, 4 Pt 2.52
P 0.5000 0.0000 0.0000  4 Ru 2.52, 4 Pt 2.52
P 0.5000 0.5000 0.5000  4 Ru 2.52, 4 Pt 2.52
Ru 0.2500 0.2500 0.7500  4 Li 2.52, 4 P 2.52
Ru 0.2500 0.7500 0.2500  4 Li 2.52, 4 P 2.52
Ru 0.7500 0.2500 0.2500  4 Li 2.52, 4 P 2.52
Ru 0.7500 0.7500 0.7500  4 Li 2.52, 4 P 2.52
Pt 0.2500 0.2500 0.2500  4 Li 2.52, 4 P 2.52
Pt 0.2500 0.7500 0.7500  4 Li 2.52, 4 P 2.52
Pt 0.7500 0.2500 0.7500  4 Li 2.52, 4 P 2.52
Pt 0.7500 0.7500 0.2500  4 Li 2.52, 4 P 2.52


(7)
Density functional theory data (PBE) for an optimized crystal structure of Li2ScPPt.

Properties
formation enthalpy at 0 K: -1.6 eV per formula unit
symmetry: P4/mmm, No. 123

Lattice parameters (Å, degrees): 4.3731 4.3731 4.5809 90.00 90.00 90.00
Closest atoms and distances in Å follow each position.
Positions (direct):
Li 0.0000 0.5000 0.0000  2 P 2.19
Li 0.5000 0.0000 0.0000  2 P 2.19
Sc 0.0000 0.0000 0.5000  4 Pt 3.09, 8 Li 3.17
P 0.5000 0.5000 0.0000  4 Li 2.19, 2 Pt 2.29
Pt 0.5000 0.5000 0.5000  2 P 2.29


(8)
Density functional theory data (PBE) for an optimized crystal structure of LiSiPPt2.

Properties
symmetry: P4/mmm, No. 123
energy relative to the elements, uncorrected: 12.5 kJ/mol of atoms

Lattice parameters (Å, degrees): 4.5591 4.5591 4.6066 90.00 90.00 90.00
Closest atoms and distances in Å follow each position.
Positions (direct):
Li 0.0000 0.0000 0.0000  4 Si 3.22, 8 Pt 3.24
Si 0.5000 0.5000 0.0000  2 P 2.30
P 0.5000 0.5000 0.5000  4 Pt 2.28, 2 Si 2.30
Pt 0.0000 0.5000 0.5000  2 P 2.28
Pt 0.5000 0.0000 0.5000  2 P 2.28


(9)
Density functional theory data (PBE) for an optimized crystal structure of Li2SiPPt6.

Properties
symmetry: Pmmn, No. 59
energy relative to the elements, uncorrected: -40.7 kJ/mol of atoms

Lattice parameters (Å, degrees): 5.6590 8.4468 7.6122 90.00 90.00 90.00
Closest atoms and distances in Å follow each position.
Positions (direct):
Li 0.2500 0.0290 0.2137  9 Pt 3.04-3.25, 2 Si 3.39
Li 0.2500 0.4710 0.2137  9 Pt 3.04-3.25, 2 Si 3.39
Li 0.7500 0.5290 0.7863  9 Pt 3.04-3.25, 2 Si 3.39
Li 0.7500 0.9710 0.7863  9 Pt 3.04-3.25, 2 Si 3.39
Si 0.2500 0.7500 0.7692  6 Pt 2.38-2.50
Si 0.7500 0.2500 0.2308  6 Pt 2.38-2.50
P 0.2500 0.2500 0.7524  6 Pt 2.25-2.38
P 0.7500 0.7500 0.2476  6 Pt 2.25-2.38
Pt 0.0075 0.7500 0.4944  1 P 2.38, 1 Si 2.50
Pt 0.0190 0.7500 0.0299  1 P 2.25, 1 Si 2.38
Pt 0.2500 0.5015 0.6194  1 P 2.35, 1 Si 2.39
Pt 0.2500 0.9985 0.6194  1 P 2.35, 1 Si 2.39
Pt 0.4810 0.7500 0.0299  1 P 2.25, 1 Si 2.38
Pt 0.4925 0.7500 0.4944  1 P 2.38, 1 Si 2.50
Pt 0.5075 0.2500 0.5056  1 P 2.38, 1 Si 2.50
Pt 0.5190 0.2500 0.9701  1 P 2.25, 1 Si 2.38
Pt 0.7500 0.0015 0.3806  1 P 2.35, 1 Si 2.39
Pt 0.7500 0.4985 0.3806  1 P 2.35, 1 Si 2.39
Pt 0.9810 0.2500 0.9701  1 P 2.25, 1 Si 2.38
Pt 0.9925 0.2500 0.5056  1 P 2.38, 1 Si 2.50


(10)
Density functional theory data (PBE) for an optimized crystal structure of Li3SiP2Pt9.

Properties
symmetry: P-3m1, No. 164
energy relative to the elements, uncorrected: -37.1 kJ/mol of atoms

Lattice parameters (Å, degrees): 6.4990 6.4990 7.6304 90.00 90.00 120.00
Closest atoms and distances in Å follow each position.
Positions (direct):
Li 0.0000 0.0000 0.0000  6 Pt 2.53
Li 0.3333 0.6667 0.7192  3 Pt 2.85
Li 0.6667 0.3333 0.2808  3 Pt 2.85
Si 0.0000 0.0000 0.5000  6 Pt 2.40
P 0.3333 0.6667 0.1993  6 Pt 2.24-2.42
P 0.6667 0.3333 0.8007  6 Pt 2.24-2.42
Pt 0.0000 0.5000 0.0000  2 P 2.42
Pt 0.1385 0.2770 0.2605  1 P 2.24, 1 Si 2.40
Pt 0.1385 0.8615 0.2605  1 P 2.24, 1 Si 2.40
Pt 0.2770 0.1385 0.7395  1 P 2.24, 1 Si 2.40
Pt 0.5000 0.0000 0.0000  2 P 2.42
Pt 0.5000 0.5000 0.0000  2 P 2.42
Pt 0.7230 0.8615 0.2605  1 P 2.24, 1 Si 2.40
Pt 0.8615 0.1385 0.7395  1 P 2.24, 1 Si 2.40
Pt 0.8615 0.7230 0.7395  1 P 2.24, 1 Si 2.40


(11)
Density functional theory data (PBE) for an optimized crystal structure of LiSmP2Pt5.

Properties
formation enthalpy at 0 K: -6.0 eV per formula unit
symmetry: P4/mmm, No. 123

Lattice parameters (Å, degrees): 3.9789 3.9789 11.4626 90.00 90.00 90.00
Closest atoms and distances in Å follow each position.
Positions (direct):
Li 0.0000 0.0000 0.0000  4 Pt 2.81
Sm 0.0000 0.0000 0.5000  8 Pt 3.01
P 0.5000 0.5000 0.1959  5 Pt 2.25-2.34
P 0.5000 0.5000 0.8041  5 Pt 2.25-2.34
Pt 0.0000 0.5000 0.3032  2 P 2.34
Pt 0.0000 0.5000 0.6968  2 P 2.34
Pt 0.5000 0.0000 0.3032  2 P 2.34
Pt 0.5000 0.0000 0.6968  2 P 2.34
Pt 0.5000 0.5000 0.0000  2 P 2.25


(12)
Density functional theory data (PBE) for an optimized crystal structure of LiSm2P3Pt4.

Properties
formation enthalpy at 0 K: -10.0 eV per formula unit
symmetry: P-4m2, No. 115

Lattice parameters (Å, degrees): 4.2107 4.2107 9.7424 90.00 90.00 90.00
Closest atoms and distances in Å follow each position.
Positions (direct):
Li 0.0000 0.0000 0.0000  4 Pt 2.42
Sm 0.0000 0.5000 0.7464  6 P 3.16-3.25, 8 Pt 3.19-3.24, 2 Li 3.25
Sm 0.5000 0.0000 0.2536  6 P 3.16-3.25, 8 Pt 3.19-3.24, 2 Li 3.25
P 0.0000 0.5000 0.3619  5 Pt 2.34-2.50
P 0.5000 0.0000 0.6381  5 Pt 2.34-2.50
P 0.5000 0.5000 0.0000  4 Pt 2.42
Pt 0.0000 0.0000 0.5000  4 P 2.50
Pt 0.0000 0.5000 0.1217  3 P 2.34-2.42, 2 Li 2.42
Pt 0.5000 0.0000 0.8783  3 P 2.34-2.42, 2 Li 2.42
Pt 0.5000 0.5000 0.5000  4 P 2.50